[1]
Entry from Alexandria: a PBEsol-optimized structure of ZrTcB2 (SCAN).

```
4
Lattice="-1.3894 -1.7664 3.3161 -1.3670 -3.7621 -0.1572 2.0827 -2.9611 1.7149" Properties=species:S:1:pos:R:3 pbc="T T T"
Tc -0.3369 -4.2448 2.4369
B -0.1684 -2.1224 1.2185
Zr 0.0000 0.0000 0.0000
B -0.5053 -6.3672 3.6554
```

## Properties
raw total energy: -20.156 eV per atom
energy relative to the elements: 0 kJ per mole of atoms
space-group type: No. 225
total magnetic moment: 0.00 μB/cell

[2]
Entry from Alexandria: a PBEsol-optimized structure of Zr2TcB2 (SCAN).

```
10
Lattice="3.3880 0.0000 0.0000 0.0000 6.2033 0.0000 0.0000 0.0000 6.2033" Properties=species:S:1:pos:R:3 pbc="T T T"
Zr 1.6940 4.2415 5.0636
B 0.0000 0.6444 2.4572
Zr 1.6940 1.9619 1.1398
Zr 1.6940 1.1398 4.2415
Zr 1.6940 5.0636 1.9619
B 0.0000 5.5589 3.7461
Tc 0.0000 0.0000 0.0000
B 0.0000 3.7461 0.6444
Tc 0.0000 3.1017 3.1017
B 0.0000 2.4572 5.5589
```

## Properties
raw total energy: -23.057 eV per atom
energy relative to the elements: -77 kJ per mole of atoms
space-group type: No. 127
total magnetic moment: 0.00 μB/cell

[3]
Entry from Alexandria: a PBEsol-optimized structure of TiBTe3 (SCAN).

```
5
Lattice="-1.9606 2.5926 4.1065 -3.9923 -3.3819 0.2290 2.7651 -3.0446 3.2424" Properties=species:S:1:pos:R:3 pbc="T T T"
B -1.5939 -1.9170 3.7889
Te -1.9962 -1.6909 0.1145
Te -0.9803 1.2963 2.0532
Te 1.3825 -1.5223 1.6212
Ti 0.0000 0.0000 0.0000
```

## Properties
raw total energy: -26.176 eV per atom
ΔE_f (raw): 867 meV/atom
space-group type: No. 221
total magnetic moment: 0.00 μB/cell
E above lowest polymorph: 21.3 kJ per mole of atoms

[4]
Entry from Alexandria: a PBEsol-optimized structure of TiBTe3 (SCAN).

```
5
Lattice="4.7772 0.0000 0.0000 0.0000 4.7772 0.0000 0.0000 0.0000 4.7772" Properties=species:S:1:pos:R:3 pbc="T T T"
B 0.0000 0.0000 0.0000
Te 0.0000 0.0000 2.3886
Ti 2.3886 2.3886 2.3886
Te 0.0000 2.3886 0.0000
Te 2.3886 0.0000 0.0000
```

## Properties
raw total energy: -26.396 eV per atom
ΔE_f (raw): 646 meV/atom
space-group type: No. 221
total magnetic moment: 1.67 μB/cell
E above lowest polymorph: 0.0 kJ per mole of atoms

[5]
Entry from Alexandria: a PBEsol-optimized structure of TiBTe2 (SCAN).

```
8
Lattice="-1.5173 5.8821 -0.0216 0.4966 -2.9873 5.8393 4.8748 1.2699 3.3949" Properties=species:S:1:pos:R:3 pbc="T T T"
Ti 2.7664 3.8704 5.4496
Ti 0.0000 0.0000 0.0000
B 1.0877 0.2944 3.7630
Te 1.3428 1.5608 5.6403
Te 1.5521 5.1179 3.3600
B 1.6787 3.5760 1.6866
Te 4.3576 -0.0427 7.3460
Te 0.4556 1.6935 2.0788
```

## Properties
raw total energy: -24.222 eV per atom
ΔE_f (raw): 268 meV/atom
space-group type: No. 122
total magnetic moment: 5.88 μB/cell

[6]
Entry from Alexandria: a PBEsol-optimized structure of TlB2Te (SCAN).

```
4
Lattice="4.5839 0.0000 0.0000 2.2919 3.9697 0.0000 2.2919 1.3232 3.7427" Properties=species:S:1:pos:R:3 pbc="T T T"
Te 0.0000 0.0000 0.0000
B 6.8758 3.9697 2.8070
Tl 4.5839 2.6465 1.8714
B 2.2919 1.3232 0.9357
```

## Properties
raw total energy: -29.342 eV per atom
ΔE_f (raw): 1775 meV/atom
space-group type: No. 225
total magnetic moment: 0.00 μB/cell

[7]
Entry from Alexandria: a PBEsol-optimized structure of BTe3W (SCAN).

```
5
Lattice="-2.0438 4.1157 -0.8153 -2.7459 -1.9978 -3.2015 -3.1723 -0.9223 3.2964" Properties=species:S:1:pos:R:3 pbc="T T T"
B 0.0000 0.0000 0.0000
Te -1.3730 -0.9989 -1.6007
W -3.9810 0.5978 -0.3602
Te -1.5862 -0.4612 1.6482
Te -1.0219 2.0578 -0.4076
```

## Properties
raw total energy: -36.350 eV per atom
ΔE_f (raw): 1424 meV/atom
space-group type: No. 221
total magnetic moment: 2.27 μB/cell

[8]
Entry from Alexandria: a PBEsol-optimized structure of YB2Te (SCAN).

```
8
Lattice="5.6445 0.0281 0.0462 -2.0676 5.2522 -0.0462 -2.0676 -2.4511 4.6455" Properties=species:S:1:pos:R:3 pbc="T T T"
B -1.3938 3.2078 0.5518
B 3.9369 -1.0788 2.9438
B -0.6392 2.3588 4.2532
Te 0.0000 0.0000 0.0000
Y -2.0676 1.4006 2.2996
Te 0.7546 3.3405 1.1498
B 1.1147 1.1708 1.5421
Y 0.7546 -0.5112 3.4956
```

## Properties
raw total energy: -19.495 eV per atom
ΔE_f (raw): 494 meV/atom
space-group type: No. 122
total magnetic moment: 0.00 μB/cell

[9]
Entry from Alexandria: a PBEsol-optimized structure of ThB6 (SCAN).

```
7
Lattice="4.0877 0.0000 0.0000 0.0000 4.0877 0.0000 0.0000 0.0000 4.0877" Properties=species:S:1:pos:R:3 pbc="T T T"
B 3.2804 2.0439 2.0439
Th 0.0000 0.0000 0.0000
B 2.0439 2.0439 0.8073
B 2.0439 0.8073 2.0439
B 2.0439 3.2804 2.0439
B 2.0439 2.0439 3.2804
B 0.8073 2.0439 2.0439
```

## Properties
raw total energy: -20.564 eV per atom
energy relative to the elements: -48 kJ per mole of atoms
space-group type: No. 221
total magnetic moment: 0.00 μB/cell

[10]
Entry from Alexandria: a PBEsol-optimized structure of ThB4 (SCAN).

```
20
Lattice="-3.5285 -1.1263 1.7364 -3.0382 -0.5350 -6.5210 2.0225 -6.9144 -0.3750" Properties=species:S:1:pos:R:3 pbc="T T T"
B -4.1904 -1.2758 -4.5243
B -0.3538 -7.2998 -0.6353
Th -0.5787 -1.4530 -2.1184
B -3.0153 -6.7794 -5.7060
B -1.2049 -3.4507 0.1319
B -1.7983 -5.4790 -2.3895
B -1.8189 -3.9226 -1.4219
B -2.8180 -0.8995 1.3867
B -2.7460 -3.0967 -2.7701
B -1.2184 -3.9515 -3.0983
B -3.3394 -5.1249 -5.2915
B -3.3258 -4.6242 -2.0613
B -1.5290 -1.7963 0.5464
B -3.3740 -1.4958 -3.0080
B -1.1702 -7.0799 -2.1516
B -2.7253 -4.6531 -3.7377
B -0.7105 -0.2268 0.3497
Th -0.4371 -5.9964 -4.7776
Th -1.8382 -2.6079 -5.4270
Th 0.8225 -4.8415 -1.4690
```

## Properties
raw total energy: -25.741 eV per atom
energy relative to the elements: -59 kJ per mole of atoms
space-group type: No. 127
total magnetic moment: 0.00 μB/cell

[11]
Entry from Alexandria: a PBEsol-optimized structure of Ti3B4 (SCAN).

```
7
Lattice="3.0254 0.0000 0.0000 0.0000 3.2278 0.0000 -1.5127 -1.6139 6.8262" Properties=species:S:1:pos:R:3 pbc="T T T"
Ti 0.0000 1.6139 4.2948
Ti 0.0000 0.0000 0.0000
B 1.5127 1.6139 0.8806
Ti 1.5127 0.0000 2.5315
B 0.0000 1.6139 1.8050
B 0.0000 0.0000 5.9456
B 1.5127 0.0000 5.0212
```

## Properties
raw total energy: -12.101 eV per atom
energy relative to the elements: -95 kJ per mole of atoms
space-group type: No. 71
total magnetic moment: 0.00 μB/cell

[12]
Entry from Alexandria: a PBEsol-optimized structure of TiB (SCAN).

```
8
Lattice="3.0357 0.0000 0.0000 0.0000 4.5283 0.0000 0.0000 0.0000 6.0600" Properties=species:S:1:pos:R:3 pbc="T T T"
Ti 0.7589 0.5522 1.0743
B 2.2767 0.4529 2.8466
Ti 2.2767 3.9761 4.9858
Ti 0.7589 1.7119 4.1043
B 0.7589 4.0754 3.2134
B 2.2767 1.8112 5.8766
Ti 2.2767 2.8164 1.9557
B 0.7589 2.7171 0.1834
```

## Properties
raw total energy: -12.614 eV per atom
energy relative to the elements: -85 kJ per mole of atoms
space-group type: No. 62
total magnetic moment: 0.00 μB/cell

[13]
Entry from Alexandria: a PBEsol-optimized structure of TiBW3 (SCAN).

```
5
Lattice="4.1908 0.0000 0.0000 0.0000 4.1908 0.0000 0.0000 0.0000 4.1908" Properties=species:S:1:pos:R:3 pbc="T T T"
B 0.0000 0.0000 0.0000
W 0.0000 0.0000 2.0954
W 2.0954 0.0000 0.0000
W 0.0000 2.0954 0.0000
Ti 2.0954 2.0954 2.0954
```

## Properties
raw total energy: -46.242 eV per atom
energy relative to the elements: 25 kJ per mole of atoms
space-group type: No. 221
total magnetic moment: 0.00 μB/cell
E above lowest polymorph: 0.0 kJ per mole of atoms